## 1
VASP calculation (PBE) on an optimized crystal structure of LuZnCuGe.

abc: 6.5380 6.5380 6.5380
angles: 90.00 90.00 90.00
Closest atoms and distances in Å follow each position.
Space group F-43m (No. 216)
Unique sites:
Lu: 0.0000 0.0000 0.0000 (multiplicity 4)  4 Ge 2.83, 4 Zn 2.83
Zn: 0.2500 0.2500 0.7500 (multiplicity 4)  4 Cu 2.83, 4 Lu 2.83
Cu: 0.0000 0.0000 0.5000 (multiplicity 4)  4 Ge 2.83, 4 Zn 2.83
Ge: 0.2500 0.2500 0.2500 (multiplicity 4)  4 Cu 2.83, 4 Lu 2.83

## 2
VASP calculation (PBE) on an optimized crystal structure of LuZnCuGe.

abc: 6.5178 6.5178 6.5178
angles: 90.00 90.00 90.00
Closest atoms and distances in Å follow each position.
Space group F-43m (No. 216)
Unique sites:
Lu: 0.0000 0.0000 0.0000 (multiplicity 4)  4 Cu 2.82, 4 Zn 2.82
Zn: 0.2500 0.2500 0.2500 (multiplicity 4)  4 Ge 2.82, 4 Lu 2.82
Cu: 0.2500 0.2500 0.7500 (multiplicity 4)  4 Ge 2.82, 4 Lu 2.82
Ge: 0.0000 0.0000 0.5000 (multiplicity 4)  4 Cu 2.82, 4 Zn 2.82

Quick look at relative energies in kJ/mol of atoms: 1 0.0; 2 4.1.

## 1
VASP calculation (PBE) on an optimized crystal structure of MgNbCuGe.

abc: 6.4380 6.4380 6.4380
angles: 90.00 90.00 90.00
Closest atoms and distances in Å follow each position.
Space group F-43m (No. 216)
Unique sites:
Mg: 0.0000 0.0000 0.0000 (multiplicity 4)  4 Nb 2.79, 4 Ge 2.79
Nb: 0.2500 0.2500 0.7500 (multiplicity 4)  4 Mg 2.79, 4 Cu 2.79
Cu: 0.0000 0.0000 0.5000 (multiplicity 4)  4 Ge 2.79, 4 Nb 2.79
Ge: 0.2500 0.2500 0.2500 (multiplicity 4)  4 Mg 2.79, 4 Cu 2.79

## 2
VASP calculation (PBE) on an optimized crystal structure of MgNbCuGe.

abc: 6.3645 6.3645 6.3645
angles: 90.00 90.00 90.00
Closest atoms and distances in Å follow each position.
Space group F-43m (No. 216)
Unique sites:
Mg: 0.0000 0.0000 0.0000 (multiplicity 4)  4 Cu 2.76, 4 Nb 2.76
Nb: 0.2500 0.2500 0.2500 (multiplicity 4)  4 Ge 2.76, 4 Mg 2.76
Cu: 0.2500 0.2500 0.7500 (multiplicity 4)  4 Ge 2.76, 4 Mg 2.76
Ge: 0.0000 0.0000 0.5000 (multiplicity 4)  4 Nb 2.76, 4 Cu 2.76

Quick look at relative energies in kJ/mol of atoms: 1 18.9; 2 0.0.

## 1
VASP calculation (PBE) on an optimized crystal structure of CuReGeMo.

abc: 6.1356 6.1356 6.1356
angles: 90.00 90.00 90.00
Closest atoms and distances in Å follow each position.
Space group F-43m (No. 216)
Unique sites:
Cu: 0.0000 0.0000 0.0000 (multiplicity 4)  4 Ge 2.66, 4 Mo 2.66
Re: 0.0000 0.0000 0.5000 (multiplicity 4)  4 Ge 2.66, 4 Mo 2.66
Ge: 0.2500 0.2500 0.7500 (multiplicity 4)  4 Re 2.66, 4 Cu 2.66
Mo: 0.2500 0.2500 0.2500 (multiplicity 4)  4 Re 2.66, 4 Cu 2.66

## 2
VASP calculation (PBE) on an optimized crystal structure of CuReGeMo.

abc: 6.0896 6.0896 6.0896
angles: 90.00 90.00 90.00
Closest atoms and distances in Å follow each position.
Space group F-43m (No. 216)
Unique sites:
Cu: 0.0000 0.0000 0.0000 (multiplicity 4)  4 Mo 2.64, 4 Re 2.64
Re: 0.2500 0.2500 0.2500 (multiplicity 4)  4 Ge 2.64, 4 Cu 2.64
Ge: 0.0000 0.0000 0.5000 (multiplicity 4)  4 Re 2.64, 4 Mo 2.64
Mo: 0.2500 0.2500 0.7500 (multiplicity 4)  4 Ge 2.64, 4 Cu 2.64

Quick look at relative energies in kJ/mol of atoms: 1 0.0; 2 6.0.

## 1
VASP calculation (PBE) on an optimized crystal structure of NaCu3GeTe4.

abc: 6.4029 6.4029 6.4029
angles: 90.00 90.00 90.00
Closest atoms and distances in Å follow each position.
Space group P-43m (No. 215)
Unique sites:
Na: 0.0000 0.0000 0.0000 (multiplicity 1)  4 Te 2.92
Cu: 0.0000 0.5000 0.5000 (multiplicity 3)  4 Te 2.73
Ge: 0.5000 0.5000 0.5000 (multiplicity 1)  4 Te 2.62
Te: 0.2636 0.2636 0.2636 (multiplicity 4)  1 Ge 2.62, 3 Cu 2.73, 1 Na 2.92

## 2
VASP calculation (PBE) on an optimized crystal structure of NaCu3GeTe4.

abc: 6.0386 7.9345 10.5880
angles: 90.00 105.80 90.00
Closest atoms and distances in Å follow each position.
Space group P2_1/m (No. 11)
Unique sites:
Na: 0.2434 0.2500 0.0517 (multiplicity 2)  2 Te 3.22-3.24
Cu: 0.2099 0.0405 0.5110 (multiplicity 4)  2 Cu 2.56-2.62, 4 Te 2.57-2.83
Cu: 0.3742 0.2500 0.7054 (multiplicity 2)  1 Ge 2.61, 2 Cu 2.62, 4 Te 2.68-2.88
Ge: 0.1889 0.7500 0.2857 (multiplicity 2)  1 Cu 2.61, 4 Te 2.66-2.78
Te: 0.0931 0.5130 0.7239 (multiplicity 4)  3 Cu 2.57-2.73, 1 Ge 2.68
Te: 0.3092 0.7500 0.0616 (multiplicity 2)  1 Ge 2.66, 1 Cu 2.68
Te: 0.4908 0.7500 0.5358 (multiplicity 2)  5 Cu 2.60-2.88, 1 Ge 2.78

Quick look at relative energies in kJ/mol of atoms: 1 10.9; 2 0.0.

## 1
VASP calculation (PBE) on an optimized crystal structure of NbCuSiGe.

abc: 3.6582 3.6582 8.8763
angles: 90.00 90.00 90.00
Closest atoms and distances in Å follow each position.
Space group P4/nmm (No. 129, origin choice 2)
Unique sites:
Nb: 0.2500 0.2500 0.2326 (multiplicity 2)  4 Si 2.70, 4 Ge 2.76, 4 Cu 3.00
Cu: 0.2500 0.7500 0.5000 (multiplicity 2)  4 Si 2.42, 4 Cu 2.59
Si: 0.2500 0.2500 0.6792 (multiplicity 2)  4 Cu 2.42, 4 Nb 2.70
Ge: 0.2500 0.7500 0.0000 (multiplicity 2)  4 Ge 2.59, 4 Nb 2.76

## 2
VASP calculation (PBE) on an optimized crystal structure of NbCuSiGe.

abc: 3.6418 3.6418 8.9631
angles: 90.00 90.00 90.00
Closest atoms and distances in Å follow each position.
Space group P4/nmm (No. 129, origin choice 2)
Unique sites:
Nb: 0.2500 0.2500 0.2203 (multiplicity 2)  4 Si 2.69, 4 Ge 2.70
Cu: 0.2500 0.7500 0.5000 (multiplicity 2)  4 Ge 2.49, 4 Cu 2.58
Si: 0.2500 0.7500 0.0000 (multiplicity 2)  4 Si 2.58, 4 Nb 2.69
Ge: 0.2500 0.2500 0.6903 (multiplicity 2)  4 Cu 2.49, 4 Nb 2.70

Quick look at relative energies in kJ/mol of atoms: 1 1.9; 2 0.0.

## 1
VASP calculation (PBE) on an optimized crystal structure of NbZnCuGe.

abc: 6.2638 6.2638 6.2638
angles: 90.00 90.00 90.00
Closest atoms and distances in Å follow each position.
Space group F-43m (No. 216)
Unique sites:
Nb: 0.0000 0.0000 0.0000 (multiplicity 4)  4 Ge 2.71, 4 Zn 2.71
Zn: 0.2500 0.2500 0.7500 (multiplicity 4)  4 Nb 2.71, 4 Cu 2.71
Cu: 0.0000 0.0000 0.5000 (multiplicity 4)  4 Zn 2.71, 4 Ge 2.71
Ge: 0.2500 0.2500 0.2500 (multiplicity 4)  4 Nb 2.71, 4 Cu 2.71

## 2
VASP calculation (PBE) on an optimized crystal structure of NbZnCuGe.

abc: 6.3169 6.3169 6.3169
angles: 90.00 90.00 90.00
Closest atoms and distances in Å follow each position.
Space group F-43m (No. 216)
Unique sites:
Nb: 0.0000 0.0000 0.0000 (multiplicity 4)  4 Cu 2.74, 4 Zn 2.74
Zn: 0.2500 0.2500 0.2500 (multiplicity 4)  4 Ge 2.74, 4 Nb 2.74
Cu: 0.2500 0.2500 0.7500 (multiplicity 4)  4 Ge 2.74, 4 Nb 2.74
Ge: 0.0000 0.0000 0.5000 (multiplicity 4)  4 Cu 2.74, 4 Zn 2.74

Quick look at relative energies in kJ/mol of atoms: 1 0.0; 2 20.5.